A relaxed HgMoS2O8 crystal. Source: Alexandria via LeMat-Bulk, functional GGA+U.

Cell: 8.8784 8.8784 8.8784 Å, 32.29 32.29 32.29°
With the nearest neighbours (Å) after each atom.
Fractional positions:
Hg1 0.0000 0.0000 0.0000  6 O 2.99
Mo1 0.5000 0.5000 0.5000  6 O 2.15
S1 0.2386 0.2386 0.2386  4 O 1.48-1.50
S2 0.7614 0.7614 0.7614  4 O 1.48-1.50
O1 0.0769 0.7597 0.5078  1 S 1.50
O2 0.2403 0.4922 0.9231  1 S 1.50
O3 0.2972 0.2972 0.2972  1 S 1.48
O4 0.4922 0.9231 0.2403  1 S 1.50
O5 0.5078 0.0769 0.7597  1 S 1.50
O6 0.7028 0.7028 0.7028  1 S 1.48
O7 0.7597 0.5078 0.0769  1 S 1.50
O8 0.9231 0.2403 0.4922  1 S 1.50

Results
size of the total moment: 0.22 μB per atom
electronic total energy: -5.8488 eV per atom